Entry 1:
Density functional theory data (PBE) for crystalline CoRhW2N at its relaxed geometry.

a b c (Å): 4.079 4.079 3.834
angles (deg): 90.00 90.00 90.00
Space group P4/mmm (No. 123)
Symmetry-distinct sites (fractional):
Co  0.000  0.000  0.000
Rh  0.500  0.500  0.000
W  0.000  0.500  0.500
N  0.000  0.000  0.500

Values from the calculation:
calculated volume: 63.8 Å³/cell
size of the total moment: 0.54 Bohr magnetons per cell
E: -48.963 eV for the cell shown

***

Entry 2:
Density functional theory data (PBE) for crystalline Y2CoRhN at its relaxed geometry.

a b c (Å): 4.903 4.903 3.537
angles (deg): 90.00 90.00 90.00
Space group P4/mmm (No. 123)
Symmetry-distinct sites (fractional):
Y  0.000  0.500  0.000
Co  0.000  0.000  0.500
Rh  0.500  0.500  0.500
N  0.000  0.000  0.000

Values from the calculation:
calculated volume: 85.0 Å³/cell
size of the total moment: 0.00 Bohr magnetons per cell
E: -40.008 eV for the cell shown

***

Entry 3:
Density functional theory data (PBE) for crystalline ZnCoRh2N at its relaxed geometry.

a b c (Å): 4.107 4.107 3.653
angles (deg): 90.00 90.00 90.00
Space group P4/mmm (No. 123)
Symmetry-distinct sites (fractional):
Zn  0.000  0.000  0.000
Co  0.500  0.500  0.000
Rh  0.000  0.500  0.500
N  0.500  0.500  0.500

Values from the calculation:
calculated volume: 61.6 Å³/cell
size of the total moment: 0.73 Bohr magnetons per cell
E: -31.612 eV for the cell shown

***

Entry 4:
Density functional theory data (PBE) for crystalline Zn2CoRhN at its relaxed geometry.

a b c (Å): 4.639 4.639 3.333
angles (deg): 90.00 90.00 90.00
Space group P4/mmm (No. 123)
Symmetry-distinct sites (fractional):
Zn  0.000  0.500  0.000
Co  0.000  0.000  0.000
Rh  0.500  0.500  0.500
N  0.000  0.000  0.500

Values from the calculation:
calculated volume: 71.7 Å³/cell
size of the total moment: 0.00 Bohr magnetons per cell
E: -22.991 eV for the cell shown